# 1
This record from Alexandria describes crystalline MgIrRu2 at its relaxed geometry. The functional is PBE-GGA.

It has space group Cmmm (No. 65), with a = 5.3790 Å, b = 7.9719 Å, c = 2.7259 Å, α = 90.00°, β = 90.00° and γ = 90.00°. The asymmetric unit holds Mg at (0.0000, 0.0000, 0.0000), Ir at (0.0000, 0.5000, 0.0000) and Ru at (0.2500, 0.2500, 0.5000).

***

# 2
This record from Alexandria describes crystalline LaPmYTl at its relaxed geometry. The functional is PBE-GGA.

It has space group F-43m (No. 216), with a = 7.9366 Å, b = 7.9366 Å, c = 7.9366 Å, α = 90.00°, β = 90.00° and γ = 90.00°. The asymmetric unit holds La at (0.0000, 0.0000, 0.0000), Pm at (0.2500, 0.2500, 0.7500), Y at (0.0000, 0.0000, 0.5000) and Tl at (0.2500, 0.2500, 0.2500).

***

E? In order: -57.39; -75.08 eV for the cell shown.
Formation energy from the elements? In order: 0.31; -0.26 eV/f.u..